Compound: LiSm2PuAu4
Source: the Alexandria database
Functional: PBE
Structure: optimized geometry

Calculated values
Volume ... 185.2 Å³/cell
Size of the total moment ... 5.8 μB per cell
Space group ... R-3m (166)
Energy of formation from the pure elements ... -484 kJ/mol of formula units

Unit cell a=5.093 b=5.093 c=8.750 alpha=73.08 beta=73.08 gamma=60.00
Fractional coordinates of all 8 atoms:
Li 0.500 0.500 0.500
Sm 0.755 0.755 0.735
Sm 0.245 0.245 0.265
Pu 0.000 0.000 0.000
Au 0.377 0.377 0.870
Au 0.877 0.877 0.369
Au 0.123 0.123 0.631
Au 0.623 0.623 0.130